Density functional theory data (PBE) for crystalline CsCu2ICl2 at its relaxed geometry.

## Properties
density of states at the Fermi level	0.00	states/eV/atom
raw total energy	-3.26	eV/atom
formation energy (no corrections)	-84.72	kJ/mol of atoms
space-group type	P2_1/m, No. 11

a = 7.758 Å, b = 5.576 Å, c = 9.040 Å
α = 90.00°, β = 111.13°, γ = 90.00°
Fractional positions:
Cs1 0.175 0.250 0.373
Cs2 0.825 0.750 0.627
Cu1 0.387 0.501 0.855
Cu2 0.387 0.999 0.855
Cu3 0.613 0.001 0.145
Cu4 0.613 0.499 0.145
I1 0.302 0.750 0.072
I2 0.698 0.250 0.928
Cl1 0.122 0.250 0.743
Cl2 0.374 0.750 0.636
Cl3 0.626 0.250 0.364
Cl4 0.878 0.750 0.257